Record 1
Entry from the Alexandria database: crystalline TaCrTc2 at its relaxed geometry (PBE-GGA).

Results
uncorrected energy	-42.209	eV/cell
total magnetization	0.0	μB/f.u.

```
4
Lattice="2.689 -4.326 0.000 2.689 4.326 0.000 -0.974 0.000 2.551" Properties=species:S:1:pos:R:3 pbc="T T T"
Ta 0.000 0.000 0.000
Cr 2.689 0.000 0.000
Tc 0.858 2.163 1.276
Tc 0.858 -2.163 1.276
```

Record 2
Entry from the Alexandria database: crystalline Ta4CrTc at its relaxed geometry (PBE-GGA).

Results
polymorph energy (0 for the lowest one)	0.0000	eV per atom
total magnetization	0.0	μB/f.u.

```
6
Lattice="3.175 0.000 0.000 0.000 3.175 0.000 0.000 0.000 9.807" Properties=species:S:1:pos:R:3 pbc="T T T"
Ta 0.000 0.000 1.506
Ta 0.000 0.000 8.301
Ta 1.587 1.587 3.320
Ta 1.587 1.587 6.487
Cr 1.587 1.587 0.000
Tc 0.000 0.000 4.904
```

Record 3
Entry from the Alexandria database: crystalline Ta2CrTc at its relaxed geometry (PBE-GGA).

Results
uncorrected energy	-43.911	eV/cell
total magnetization	0.0	μB/f.u.

```
4
Lattice="1.586 -2.325 0.000 1.586 2.325 0.000 0.000 0.000 8.521" Properties=species:S:1:pos:R:3 pbc="T T T"
Ta 0.000 0.000 2.065
Ta 0.000 0.000 6.456
Cr 1.586 0.000 0.000
Tc 1.586 0.000 4.260
```

Record 4
Entry from the Alexandria database: crystalline TaCrTc4 at its relaxed geometry (PBE-GGA).

Results
uncorrected energy	-62.085	eV/cell
total magnetization	2.7	μB/f.u.

```
6
Lattice="0.000 3.617 3.617 3.617 0.000 3.617 3.617 3.617 0.000" Properties=species:S:1:pos:R:3 pbc="T T T"
Ta 0.000 0.000 0.000
Cr 5.426 5.426 5.426
Tc 2.717 2.717 2.717
Tc 4.517 4.517 2.717
Tc 4.517 2.717 4.517
Tc 2.717 4.517 4.517
```

Record 5
Entry from the Alexandria database: crystalline Ta2CrTc at its relaxed geometry (PBE-GGA).

Results
uncorrected energy	-44.795	eV/cell
total magnetization	0.0	μB/f.u.

```
4
Lattice="3.143 0.000 0.000 0.000 3.143 0.000 0.000 0.000 6.298" Properties=species:S:1:pos:R:3 pbc="T T T"
Ta 0.000 0.000 1.537
Ta 0.000 0.000 4.762
Cr 1.572 1.572 0.000
Tc 1.572 1.572 3.149
```

Record 6
Entry from the Alexandria database: crystalline Ta2CrTc at its relaxed geometry (PBE-GGA).

Results
uncorrected energy	-43.955	eV/cell
total magnetization	0.0	μB/f.u.

```
4
Lattice="2.827 0.000 0.000 0.000 4.291 0.000 -0.829 0.000 5.182" Properties=species:S:1:pos:R:3 pbc="T T T"
Ta 0.488 0.000 1.315
Ta 1.510 0.000 3.868
Cr -0.414 2.146 2.591
Tc 1.413 2.146 0.000
```

Record 7
Entry from the Alexandria database: crystalline Ta2CrTc at its relaxed geometry (PBE-GGA).

Results
uncorrected energy	-42.751	eV/cell
total magnetization	0.5	μB/f.u.

```
4
Lattice="1.470 0.848 8.632 -1.470 0.848 8.632 0.000 -1.697 8.632" Properties=species:S:1:pos:R:3 pbc="T T T"
Ta 0.000 0.000 0.000
Ta 0.000 0.000 6.205
Cr 0.000 0.000 12.736
Tc 0.000 0.000 19.524
```

Record 8
Entry from the Alexandria database: crystalline Ta4CrTc at its relaxed geometry (PBE-GGA).

Results
polymorph energy (0 for the lowest one)	0.7265	eV per atom
total magnetization	2.2	μB/f.u.

```
6
Lattice="0.000 3.783 3.783 3.783 0.000 3.783 3.783 3.783 0.000" Properties=species:S:1:pos:R:3 pbc="T T T"
Ta 0.945 0.945 0.945
Ta 2.839 2.839 0.945
Ta 2.839 0.945 2.839
Ta 0.945 2.839 2.839
Cr 3.783 3.783 3.783
Tc 5.675 5.675 5.675
```